1.
The following is a PBE calculation of an optimized crystal structure of LiLa2MnAl, from Alexandria via LeMat-Bulk.

Properties
Space group = No. 123
ΔE to the lowest computed polymorph = 0.0000 eV/atom

a = 5.1871 Å, b = 5.1871 Å, c = 4.8781 Å
α = 90.00°, β = 90.00°, γ = 90.00°
Closest atoms and distances in Å follow each position.
Fractional coordinates of all 5 atoms:
1 Mn 0.0000 0.0000 0.0000  2 Al 2.44, 4 La 2.59
2 Li 0.5000 0.5000 0.5000  8 La 3.56, 4 Al 3.67
3 Al 0.0000 0.0000 0.5000  2 Mn 2.44
4 La 0.0000 0.5000 0.0000  2 Mn 2.59
5 La 0.5000 0.0000 0.0000  2 Mn 2.59

2.
The following is a PBE calculation of an optimized crystal structure of LiLaAlMo2, from Alexandria via LeMat-Bulk.

Properties
Space group = No. 123
E = -5.629 eV per atom

a = 4.6159 Å, b = 4.6159 Å, c = 4.3753 Å
α = 90.00°, β = 90.00°, γ = 90.00°
Closest atoms and distances in Å follow each position.
Fractional coordinates of all 5 atoms:
1 Mo 0.0000 0.5000 0.0000  2 Li 2.31
2 Mo 0.5000 0.0000 0.0000  2 Li 2.31
3 Li 0.0000 0.0000 0.0000  2 Al 2.19, 4 Mo 2.31
4 Al 0.0000 0.0000 0.5000  2 Li 2.19
5 La 0.5000 0.5000 0.5000  8 Mo 3.18, 4 Al 3.26

3.
The following is a PBE calculation of an optimized crystal structure of NaLiLaAl, from Alexandria via LeMat-Bulk.

Properties
Space group = No. 216
E = -2.974 eV per atom

a = 5.2930 Å, b = 5.2930 Å, c = 5.2930 Å
α = 60.00°, β = 60.00°, γ = 60.00°
Closest atoms and distances in Å follow each position.
Fractional coordinates of all 4 atoms:
1 Na 0.0000 0.0000 0.0000  4 Li 3.24, 4 Al 3.24
2 Li 0.7500 0.7500 0.7500  4 La 3.24, 4 Na 3.24
3 Al 0.2500 0.2500 0.2500  4 Na 3.24, 4 La 3.24
4 La 0.5000 0.5000 0.5000  4 Al 3.24, 4 Li 3.24

4.
The following is a PBE calculation of an optimized crystal structure of LiLaNdAl, from Alexandria via LeMat-Bulk.

Properties
Space group = No. 216
E = -4.026 eV per atom

a = 5.3612 Å, b = 5.3612 Å, c = 5.3612 Å
α = 60.00°, β = 60.00°, γ = 60.00°
Closest atoms and distances in Å follow each position.
Fractional coordinates of all 4 atoms:
1 Li 0.0000 0.0000 0.0000  4 La 3.28, 4 Nd 3.28
2 Nd 0.7500 0.7500 0.7500  4 Al 3.28, 4 Li 3.28
3 Al 0.5000 0.5000 0.5000  4 La 3.28, 4 Nd 3.28
4 La 0.2500 0.2500 0.2500  4 Al 3.28, 4 Li 3.28

5.
The following is a PBE calculation of an optimized crystal structure of LiLa2AlNi6, from Alexandria via LeMat-Bulk.

Properties
Space group = No. 2
E = -5.294 eV per atom

a = 6.3188 Å, b = 6.4030 Å, c = 6.3212 Å
α = 80.02°, β = 46.04°, γ = 97.44°
Closest atoms and distances in Å follow each position.
Fractional coordinates of all 10 atoms:
1 Li 0.5000 0.5000 0.0000  6 Ni 2.42-2.62
2 La 0.2449 0.6908 0.5545  7 Ni 2.97-3.16, 2 Li 3.24, 2 Al 3.30
3 La 0.7551 0.3092 0.4455  7 Ni 2.97-3.16, 2 Li 3.24, 2 Al 3.30
4 Al 0.0000 0.0000 0.0000  6 Ni 2.36-2.57
5 Ni 0.2673 0.7689 0.9896  1 Al 2.36, 4 Ni 2.40-2.52, 1 Li 2.43
6 Ni 0.7507 0.9369 0.8142  5 Ni 2.40-2.68, 1 Al 2.57, 1 Li 2.62
7 Ni 0.2428 0.2306 0.5006  1 Al 2.36, 4 Ni 2.40-2.52, 1 Li 2.42
8 Ni 0.7327 0.2311 0.0104  1 Al 2.36, 4 Ni 2.40-2.52, 1 Li 2.43
9 Ni 0.2493 0.0631 0.1858  5 Ni 2.40-2.68, 1 Al 2.57, 1 Li 2.62
10 Ni 0.7572 0.7694 0.4994  1 Al 2.36, 4 Ni 2.40-2.52, 1 Li 2.42

6.
The following is a PBE calculation of an optimized crystal structure of LiLa2Al12Ni3, from Alexandria via LeMat-Bulk.

Properties
Space group = No. 166
E = -4.092 eV per atom

a = 7.7129 Å, b = 7.7129 Å, c = 7.7129 Å
α = 68.53°, β = 68.53°, γ = 68.53°
Closest atoms and distances in Å follow each position.
Fractional coordinates of all 18 atoms:
1 Li 0.0000 0.0000 0.0000  6 Al 2.67
2 La 0.5861 0.5861 0.5861  1 La 3.03, 6 Al 3.17-3.33
3 La 0.4139 0.4139 0.4139  1 La 3.03, 6 Al 3.17-3.33
4 Al 0.2610 0.2610 0.8939  2 Ni 2.30
5 Al 0.8631 0.8631 0.3814  1 Ni 2.30
6 Al 0.3814 0.8631 0.8631  1 Ni 2.30
7 Al 0.8939 0.2610 0.2610  2 Ni 2.30
8 Al 0.8631 0.3814 0.8631  1 Ni 2.30
9 Al 0.2610 0.8939 0.2610  2 Ni 2.30
10 Al 0.7390 0.7390 0.1061  2 Ni 2.30
11 Al 0.1369 0.1369 0.6186  1 Ni 2.30
12 Al 0.6186 0.1369 0.1369  1 Ni 2.30
13 Al 0.1061 0.7390 0.7390  2 Ni 2.30
14 Al 0.1369 0.6186 0.1369  1 Ni 2.30
15 Al 0.7390 0.1061 0.7390  2 Ni 2.30
16 Ni 0.5000 0.0000 0.0000  6 Al 2.30
17 Ni 0.0000 0.5000 0.0000  6 Al 2.30
18 Ni 0.0000 0.0000 0.5000  6 Al 2.30

7.
The following is a PBE calculation of an optimized crystal structure of Li2La2AlO6, from Alexandria via LeMat-Bulk.

Properties
Space group = No. 166
Raw formation energy = -2.522 eV/atom

a = 5.5890 Å, b = 5.5890 Å, c = 5.7517 Å
α = 60.93°, β = 60.93°, γ = 60.00°
Closest atoms and distances in Å follow each position.
Fractional coordinates of all 11 atoms:
1 Li 0.4299 0.4299 0.7102  3 O 1.76
2 Li 0.5701 0.5701 0.2898  3 O 1.76
3 La 0.7768 0.7768 0.6696  3 O 2.48
4 La 0.2232 0.2232 0.3304  3 O 2.48
5 Al 0.0000 0.0000 0.0000  6 O 1.90
6 O 0.7642 0.7642 0.2505  1 Li 1.76, 1 Al 1.90
7 O 0.2212 0.7642 0.2505  1 Li 1.76, 1 Al 1.90
8 O 0.7642 0.2212 0.2505  1 Li 1.76, 1 Al 1.90
9 O 0.2358 0.7788 0.7495  1 Li 1.76, 1 Al 1.90
10 O 0.7788 0.2358 0.7495  1 Li 1.76, 1 Al 1.90
11 O 0.2358 0.2358 0.7495  1 Li 1.76, 1 Al 1.90

8.
The following is a PBE calculation of an optimized crystal structure of LiLa2AlO5, from Alexandria via LeMat-Bulk.

Properties
Space group = No. 36
Raw formation energy = -3.020 eV/atom

a = 3.4499 Å, b = 7.1166 Å, c = 9.3572 Å
α = 90.00°, β = 90.00°, γ = 104.03°
Closest atoms and distances in Å follow each position.
Fractional coordinates of all 18 atoms:
1 Li 0.7779 0.5557 0.5055  1 O 1.87
2 Li 0.2221 0.4443 0.0055  1 O 1.87
3 La 0.8819 0.7638 0.8073  7 O 2.46-2.62
4 La 0.1306 0.2611 0.6883  7 O 2.41-2.64
5 La 0.1181 0.2362 0.3073  7 O 2.46-2.62
6 La 0.8694 0.7389 0.1883  7 O 2.41-2.64
7 Al 0.5852 0.1704 0.9794  5 O 1.85-2.03
8 Al 0.4148 0.8296 0.4794  5 O 1.85-2.03
9 O 0.3573 0.7145 0.0099  1 Li 1.87
10 O 0.6960 0.3921 0.8618  1 Al 1.88
11 O 0.5140 0.0280 0.8001  1 Al 1.94
12 O 0.3190 0.6380 0.6440  1 Al 2.03, 2 Li 2.23
13 O 0.9511 0.9022 0.5276  2 Al 1.85
14 O 0.6427 0.2855 0.5099  1 Li 1.87
15 O 0.3040 0.6079 0.3618  1 Al 1.88
16 O 0.4860 0.9720 0.3001  1 Al 1.94
17 O 0.6810 0.3620 0.1440  1 Al 2.03, 2 Li 2.23
18 O 0.0489 0.0978 0.0276  2 Al 1.85

| no. | total magnetic moment (μB/cell) |
| --- | --- |
| 1 | 0.00 |
| 2 | 1.32 |
| 3 | 0.00 |
| 4 | 0.00 |
| 5 | 0.00 |
| 6 | 0.00 |
| 7 | 1.00 |
| 8 | 0.00 |